(1)
DFT (PBE) results for a relaxed structure of K3Ba2.

a b c (Å): 19.487 19.487 19.487
angles (deg): 13.36 13.36 13.36
Sites, in units of the cell vectors:
K1 0.000 0.000 0.000
K2 0.402 0.402 0.402
K3 0.598 0.598 0.598
Ba1 0.198 0.198 0.198
Ba2 0.802 0.802 0.802

space-group type: R-3m
electronic total energy: -1.39 eV/atom
crystal system: trigonal

---

(2)
DFT (PBE) results for a relaxed structure of K2Ba3.

a b c (Å): 19.251 19.251 19.251
angles (deg): 13.47 13.47 13.47
Sites, in units of the cell vectors:
K1 0.202 0.202 0.202
K2 0.798 0.798 0.798
Ba1 0.000 0.000 0.000
Ba2 0.397 0.397 0.397
Ba3 0.603 0.603 0.603

space-group type: R-3m
electronic total energy: -1.55 eV/atom
crystal system: trigonal

---

(3)
DFT (PBE) results for a relaxed structure of K2Ba3.

a b c (Å): 7.052 7.052 8.741
angles (deg): 90.00 90.00 120.00
Sites, in units of the cell vectors:
K1 0.333 0.667 0.354
K2 0.667 0.333 0.646
Ba1 0.000 0.000 0.500
Ba2 0.333 0.667 0.856
Ba3 0.667 0.333 0.144

space-group type: P-3m1
electronic total energy: -1.29 eV/atom
crystal system: trigonal

---

(4)
DFT (PBE) results for a relaxed structure of K5Ba3.

a b c (Å): 4.417 4.417 30.126
angles (deg): 90.00 90.00 111.67
Sites, in units of the cell vectors:
K1 0.000 0.000 0.000
K2 0.000 0.000 0.255
K3 0.000 0.000 0.745
K4 0.500 0.500 0.127
K5 0.500 0.500 0.873
Ba1 0.000 0.000 0.500
Ba2 0.500 0.500 0.382
Ba3 0.500 0.500 0.618

space-group type: Cmmm
electronic total energy: -1.38 eV/atom
crystal system: orthorhombic

---

Which formula does entry 4 have?
K5Ba3